1.
## Th2Tc3Ge5 (PBE-GGA)

Data for a relaxed structure of Th2Tc3Ge5.

Cell and atoms, written as POSCAR:
```
Th2Tc3Ge5
1.0
-5.007 6.393 2.954
5.007 -6.393 2.954
5.007 6.393 -2.954
Th Tc Ge
4 6 10
Cartesian
2.331 1.755 0.000
2.331 -1.755 2.954
2.676 8.147 0.000
2.676 4.638 2.954
4.095 -4.471 2.954
5.007 0.000 1.477
4.095 4.471 0.000
0.913 1.921 2.954
0.000 6.393 1.477
0.913 10.864 0.000
5.007 -2.642 1.477
6.755 1.144 0.000
0.000 0.000 1.477
1.748 5.249 0.000
5.007 2.642 1.477
0.000 3.751 1.477
3.260 1.144 2.954
0.000 0.000 4.431
-1.748 5.249 2.954
0.000 9.035 1.477
```

As for the space group: Ibam. The crystal system is orthorhombic.


2.
## CoB2W (PBE-GGA)

Data for a relaxed structure of CoB2W.

Cell and atoms, written as POSCAR:
```
CoB2W
1.0
5.441 0.000 0.000
0.000 5.441 0.000
0.000 0.000 5.441
Co B W
4 8 4
Cartesian
0.000 0.000 0.000
0.000 2.720 2.720
2.720 0.000 2.720
2.720 2.720 0.000
0.000 0.000 2.720
0.000 2.720 0.000
1.360 1.360 1.360
1.360 4.080 4.080
2.720 0.000 0.000
2.720 2.720 2.720
4.080 1.360 4.080
4.080 4.080 1.360
1.360 1.360 4.080
1.360 4.080 1.360
4.080 1.360 1.360
4.080 4.080 4.080
```

As for the space group: F-43m. The crystal system is cubic.


| no. | V (Å³/atom) | final energy (eV per atom) | theoretical density (kg/m³) |
| --- | --- | --- | --- |
| 1 | 18.91 | -7.435 | 9846 |
| 2 | 10.07 | -7.442 | 10905 |